Record 1
An optimized crystal structure of CdFeAgF6. Source: Alexandria, functional PBE with a Hubbard U.

energy	-4.344	eV per atom

Unit cell a=5.1659 b=5.1659 c=10.2397 alpha=90.00 beta=90.00 gamma=90.00
Closest atoms and distances in Å follow each position.
Space group P4_2nm (No. 102)
Inequivalent atoms, fractional coordinates:
Cd: 0.0000 0.0000 0.0000 x2  6 F 2.26-2.31
Fe: 0.0000 0.0000 0.3377 x2  6 F 1.96-1.98
Ag: 0.0000 0.0000 0.6733 x2  6 F 2.39-2.50
F: 0.1734 0.1734 0.1887 x4  1 Fe 1.98
F: 0.1938 0.1938 0.4717 x4  1 Fe 1.97
F: 0.2322 0.2322 0.8501 x4  1 Fe 1.96

***

Record 2
An optimized crystal structure of CdFeAg2F6. Source: Alexandria, functional PBE with a Hubbard U.

energy	-3.987	eV per atom

Unit cell a=6.0303 b=6.0303 c=4.2739 alpha=90.00 beta=90.00 gamma=90.00
Closest atoms and distances in Å follow each position.
Space group P4mm (No. 99)
Inequivalent atoms, fractional coordinates:
Cd: 0.0000 0.0000 0.0000 x1  6 F 2.12-2.29
Fe: 0.5000 0.5000 0.0242 x1  6 F 1.99-2.21
Ag: 0.0000 0.5000 0.4446 x2  6 F 2.71-3.03
F: 0.0000 0.0000 0.5046 x1  2 Cd 2.12-2.16
F: 0.2676 0.2676 0.0547 x4  1 Fe 1.99
F: 0.5000 0.5000 0.5421 x1  2 Fe 2.06-2.21

***

no.,theoretical density (g/cm³)
1,4.74
2,5.32